! Be2CrI2 | Alexandria | GGA-PBE | relaxed; values from VASP
&SYSTEM
  ibrav = 0, nat = 5, ntyp = 3
/
ATOMIC_SPECIES
Be 9.01 Be.upf
I 126.90 I.upf
Cr 52.00 Cr.upf
CELL_PARAMETERS angstrom
-0.005 -2.913 -1.432
2.747 -0.767 1.550
-3.783 -5.446 7.412
ATOMIC_POSITIONS crystal
Be 0.250 0.750 0.500
Be 0.750 0.250 0.500
I 0.586 0.586 0.828
I 0.414 0.414 0.172
Cr 0.000 0.000 0.000
! **Space-group type**: No. 139
! **Energy above the most stable polymorph in this dataset**: 0.0 kJ/mol of formula units
! **Electronic total energy**: -3.04 eV per atom



! Be2CrI2 | Alexandria | GGA-PBE | relaxed; values from VASP
&SYSTEM
  ibrav = 0, nat = 10, ntyp = 3
/
ATOMIC_SPECIES
Be 9.01 Be.upf
I 126.90 I.upf
Cr 52.00 Cr.upf
CELL_PARAMETERS angstrom
7.252 0.000 0.000
0.000 7.252 0.000
0.000 0.000 3.576
ATOMIC_POSITIONS crystal
Be 0.178 0.678 0.500
Be 0.678 0.822 0.500
Be 0.322 0.178 0.500
Be 0.822 0.322 0.500
I 0.836 0.664 0.000
I 0.336 0.836 0.000
I 0.164 0.336 0.000
I 0.664 0.164 0.000
Cr 0.000 0.000 0.000
Cr 0.500 0.500 0.000
! **Space-group type**: No. 127
! **Energy above the most stable polymorph in this dataset**: 150.6 kJ/mol of formula units
! **Electronic total energy**: -2.73 eV per atom



Question: electronic total energy of number 1 (Be2CrI2)?
Answer: -3.04 eV per atom



Question: What is the electronic total energy in the second record?
Answer: -2.73 eV per atom



Question: Which of these has the highest energy above the most stable polymorph in this dataset?
Answer: number 2



Question: electronic total energy of number 1 (Be2CrI2)?
Answer: -3.04 eV per atom